No. 1
Entry from Alexandria via LeMat-Bulk: an optimized crystal structure of GaNiB2Pb (PBE).

```
GaNiB2Pb
1.0
3.915 0.000 0.000
0.000 3.915 0.000
0.000 0.000 5.592
Ga Ni B Pb
1 1 2 1
Cartesian
0.000 0.000 0.000
1.958 1.958 2.796
0.000 1.958 2.796
1.958 0.000 2.796
1.958 1.958 0.000
```

DFT total energy: -21.7 eV per cell
density: 6.92 g/cm3
D(E_F): 2.1 states/eV/cell



No. 2
Entry from Alexandria via LeMat-Bulk: an optimized crystal structure of Cs3RhO3 (PBE).

```
Cs3RhO3
1.0
5.472 3.159 1.908
-5.472 3.159 1.908
0.000 -6.319 1.908
Cs Rh O
3 1 3
Cartesian
-2.287 -1.320 1.908
2.287 -1.320 1.908
0.000 2.641 1.908
0.000 0.000 4.743
-1.616 -0.933 4.720
1.616 -0.933 4.720
0.000 1.866 4.720
```

energy above the lowest structure with this stoichiometry: 51 kJ/mol of formula units
formation energy (no corrections): -1000 meV per atom
density: 4.61 g/cm3



No. 3
Entry from Alexandria via LeMat-Bulk: an optimized crystal structure of Mg4SiP (PBE).

```
Mg4SiP
1.0
0.000 3.931 3.931
3.931 0.000 3.931
3.931 3.931 0.000
Mg Si P
4 1 1
Cartesian
0.983 0.983 0.983
2.948 2.948 0.983
2.948 0.983 2.948
0.983 2.948 2.948
3.931 3.931 3.931
5.896 5.896 5.896
```

formation energy (no corrections): 377 meV per atom
density: 2.14 g/cm3
D(E_F): 2.4 states/eV/cell



No. 4
Entry from Alexandria via LeMat-Bulk: an optimized crystal structure of GaPt (PBE).

```
GaPt
1.0
-3.811 3.811 2.403
3.811 -3.811 2.403
3.811 3.811 -2.403
Ga Pt
4 4
Cartesian
2.397 0.369 0.000
3.442 -1.414 2.403
0.369 5.225 0.000
1.414 3.442 2.403
4.748 2.072 0.000
2.072 2.874 0.000
1.739 0.937 2.403
-0.937 1.739 2.403
```

DFT total energy: -40.0 eV per cell
density: 12.60 g/cm3
D(E_F): 3.0 states/eV/cell



No. 5
Entry from Alexandria via LeMat-Bulk: an optimized crystal structure of GaCI2Cl (PBE).

```
GaCI2Cl
1.0
5.666 0.000 0.000
0.000 5.666 0.000
0.000 0.000 4.791
Ga C I Cl
1 1 2 1
Cartesian
0.000 0.000 0.000
2.833 2.833 2.396
0.000 2.833 0.000
2.833 0.000 0.000
0.000 0.000 2.396
```

formation energy (no corrections): 1185 meV per atom
density: 4.01 g/cm3
D(E_F): 5.6 states/eV/cell



No. 6
Entry from Alexandria via LeMat-Bulk: an optimized crystal structure of La5Hg4 (PBE).

```
La5Hg4
1.0
9.584 0.000 0.000
-4.792 8.300 0.000
0.000 0.000 7.101
La Hg
10 8
Cartesian
-1.369 2.371 1.775
-3.423 5.928 5.326
2.738 0.000 1.775
1.369 2.371 5.326
0.000 5.533 0.000
0.000 5.533 3.551
4.792 2.767 0.000
4.792 2.767 3.551
6.845 0.000 5.326
3.423 5.928 1.775
0.000 0.000 0.000
0.000 0.000 3.551
-1.816 3.146 5.326
-2.976 5.154 1.775
3.633 0.000 5.326
1.816 3.146 1.775
5.951 0.000 1.775
2.976 5.154 5.326
```

energy above the lowest structure with this stoichiometry: 0 kJ/mol of formula units
density: 8.80 g/cm3
D(E_F): 25.0 states/eV/cell



No. 7
Entry from Alexandria via LeMat-Bulk: an optimized crystal structure of CaSb2Br (PBE).

```
CaSb2Br
1.0
1.819 1.050 10.045
-1.819 1.050 10.045
0.000 -2.100 10.045
Ca Sb Br
1 2 1
Cartesian
0.000 0.000 0.000
0.000 0.000 7.483
0.000 0.000 22.653
0.000 0.000 15.068
```

energy above the lowest structure with this stoichiometry: 290 kJ/mol of formula units
formation energy (no corrections): -85 meV per atom
density: 5.24 g/cm3
D(E_F): 4.9 states/eV/cell



No. 8
Entry from Alexandria via LeMat-Bulk: an optimized crystal structure of P2OsSe (PBE).

```
P2OsSe
1.0
-1.443 1.452 8.782
1.443 -1.452 8.782
1.443 1.452 -8.782
P Os Se
2 1 1
Cartesian
0.000 0.000 0.000
0.000 1.452 3.203
0.000 0.000 10.121
1.443 0.000 5.670
```

formation energy (no corrections): 237 meV per atom
density: 7.47 g/cm3
D(E_F): 1.6 states/eV/cell



Size of the total moment readings, ordered: 0.00; 0.00; 0.00; 0.00; 1.54; 0.00; 0.00; 0.00 μB per formula unit